Material: CoSb3Ru
Method: DFT, PBE
State: relaxed

Computed properties:
As for the energy above the lowest structure with this stoichiometry: 123 meV per atom. The value obtained for the density of states at the Fermi level is 2.86 states/eV/f.u.

Lattice parameters (Å, degrees): 5.0944 5.0944 5.0944 90.00 90.00 90.00
Space group Pm-3m (No. 221)
Inequivalent atoms, fractional coordinates:
Co 0.0000 0.0000 0.0000 (multiplicity 1)
Sb 0.0000 0.5000 0.5000 (multiplicity 3)
Ru 0.5000 0.5000 0.5000 (multiplicity 1)